Computed, not measured: a relaxed structure of ZrHgPO at the PBE-GGA level of DFT.

Unit cell a=3.735 b=3.735 c=10.104 alpha=90.00 beta=90.00 gamma=90.00
Fractional coordinates of all 8 atoms:
Zr (0.750, 0.750, 0.879)
Zr (0.250, 0.250, 0.121)
O (0.750, 0.250, 0.000)
O (0.250, 0.750, 0.000)
P (0.250, 0.250, 0.758)
P (0.750, 0.750, 0.242)
Hg (0.250, 0.750, 0.500)
Hg (0.750, 0.250, 0.500)

Output
As for the total magnetic moment: 0.47 μB/f.u. The calculated density is 7983 kg/m3. Its total energy is -23.51 eV per formula unit.

Computed, not measured: a relaxed structure of ZrHgPO at the PBE-GGA level of DFT.

Unit cell a=4.084 b=6.820 c=5.460 alpha=90.00 beta=90.00 gamma=90.00
Fractional coordinates of all 8 atoms:
Hg (0.000, 0.411, 0.954)
Hg (0.000, 0.589, 0.454)
Zr (0.500, 0.817, 0.933)
Zr (0.500, 0.183, 0.433)
O (0.000, 0.837, 0.935)
O (0.000, 0.163, 0.435)
P (0.500, 0.801, 0.432)
P (0.500, 0.199, 0.932)

Output
As for the total magnetic moment: 0.00 μB/f.u. The calculated density is 7399 kg/m3. Its total energy is -23.34 eV per formula unit.

Computed, not measured: a relaxed structure of ZrHgPO at the PBE-GGA level of DFT.

Unit cell a=4.009 b=8.616 c=5.544 alpha=90.00 beta=90.00 gamma=90.00
Fractional coordinates of all 8 atoms:
Hg (0.000, 0.844, 0.936)
Hg (0.000, 0.156, 0.436)
Zr (0.500, 0.645, 0.536)
Zr (0.500, 0.355, 0.036)
P (0.000, 0.817, 0.420)
P (0.000, 0.183, 0.920)
O (0.500, 0.553, 0.862)
O (0.500, 0.447, 0.362)

Output
As for the total magnetic moment: 0.00 μB/f.u. The calculated density is 5876 kg/m3. Its total energy is -23.90 eV per formula unit.

Computed, not measured: a relaxed structure of ZrHgPO at the PBE-GGA level of DFT.

Unit cell a=5.397 b=5.397 c=4.718 alpha=90.00 beta=90.00 gamma=90.00
Fractional coordinates of all 8 atoms:
P (0.500, 0.000, 0.403)
P (0.000, 0.500, 0.597)
Hg (0.000, 0.500, 0.094)
Hg (0.500, 0.000, 0.906)
O (0.500, 0.500, 0.000)
O (0.000, 0.000, 0.000)
Zr (0.000, 0.000, 0.500)
Zr (0.500, 0.500, 0.500)

Output
As for the total magnetic moment: 0.00 μB/f.u. The calculated density is 8188 kg/m3. Its total energy is -22.43 eV per formula unit.

Computed, not measured: a relaxed structure of Pa2Hg2O5 at the PBE-GGA level of DFT.

Unit cell a=7.350 b=4.179 c=4.179 alpha=90.00 beta=90.00 gamma=90.00
Fractional coordinates of all 9 atoms:
Hg (0.826, 0.500, 0.500)
Hg (0.174, 0.500, 0.500)
O (0.724, 0.500, 0.000)
O (0.500, 0.500, 0.500)
O (0.724, 0.000, 0.500)
O (0.276, 0.500, 0.000)
O (0.276, 0.000, 0.500)
Pa (0.500, 0.000, 0.000)
Pa (0.000, 0.000, 0.000)

Output
As for the total magnetic moment: 2.00 μB/f.u. The calculated density is 12205 kg/m3. Its total energy is -51.21 eV per formula unit.

Computed, not measured: a relaxed structure of Pa2Hg2O5 at the PBE-GGA level of DFT.

Unit cell a=9.886 b=4.248 c=4.248 alpha=90.00 beta=90.00 gamma=90.00
Fractional coordinates of all 9 atoms:
O (0.754, 0.000, 0.500)
O (0.754, 0.500, 0.000)
O (0.500, 0.500, 0.500)
O (0.246, 0.000, 0.500)
O (0.246, 0.500, 0.000)
Pa (0.717, 0.500, 0.500)
Pa (0.283, 0.500, 0.500)
Hg (0.000, 0.000, 0.000)
Hg (0.500, 0.000, 0.000)

Output
As for the total magnetic moment: 0.00 μB/f.u. The calculated density is 8782 kg/m3. Its total energy is -62.09 eV per formula unit.

Computed, not measured: a relaxed structure of HgPb2SO6 at the PBE-GGA level of DFT.

Unit cell a=6.490 b=7.120 c=7.549 alpha=90.75 beta=92.07 gamma=112.72
Fractional coordinates of all 20 atoms:
Pb (0.808, 0.243, 0.609)
Pb (0.192, 0.757, 0.391)
Pb (0.223, 0.744, 0.873)
Pb (0.777, 0.256, 0.127)
S (0.707, 0.773, 0.147)
S (0.293, 0.227, 0.853)
O (0.173, 0.366, 0.879)
O (0.053, 0.392, 0.365)
O (0.947, 0.608, 0.635)
O (0.837, 0.939, 0.279)
O (0.432, 0.798, 0.630)
O (0.479, 0.656, 0.210)
O (0.315, 0.132, 0.024)
O (0.827, 0.634, 0.121)
O (0.685, 0.868, 0.976)
O (0.163, 0.061, 0.721)
O (0.568, 0.202, 0.370)
O (0.521, 0.344, 0.790)
Hg (0.691, 0.707, 0.638)
Hg (0.309, 0.293, 0.362)

Output
The calculated density is 7677 kg/m3. Its total energy is -53.33 eV per formula unit.

Computed, not measured: a relaxed structure of HgPb2SeO6 at the PBE-GGA level of DFT.

Unit cell a=6.535 b=7.234 c=7.642 alpha=91.20 beta=91.84 gamma=112.77
Fractional coordinates of all 20 atoms:
O (0.545, 0.360, 0.793)
O (0.690, 0.883, 0.957)
O (0.947, 0.607, 0.630)
O (0.053, 0.393, 0.370)
O (0.849, 0.956, 0.296)
O (0.151, 0.044, 0.704)
O (0.435, 0.794, 0.627)
O (0.853, 0.627, 0.117)
O (0.310, 0.117, 0.043)
O (0.565, 0.206, 0.373)
O (0.147, 0.373, 0.883)
O (0.455, 0.640, 0.207)
Hg (0.305, 0.292, 0.367)
Hg (0.695, 0.708, 0.633)
Pb (0.220, 0.741, 0.866)
Pb (0.194, 0.755, 0.394)
Pb (0.806, 0.245, 0.606)
Pb (0.780, 0.259, 0.134)
Se (0.712, 0.775, 0.145)
Se (0.288, 0.225, 0.855)

Output
The calculated density is 7884 kg/m3. Its total energy is -49.50 eV per formula unit.

> Which formula does entry 2 have?

ZrHgPO